Crystalline HoTmPtRh at its relaxed geometry, computed with PBE.

a b c (Å): 4.848 4.848 4.848
angles (deg): 60.00 60.00 60.00
Atoms (fractional coordinates):
1 Pt 0.750 0.750 0.750
2 Ho 0.000 0.000 0.000
3 Tm 0.500 0.500 0.500
4 Rh 0.250 0.250 0.250

Calculated values
Magnetization ... 0.0 μB/cell
E above lowest polymorph ... 12 meV/atom
Space group ... No. 216
ΔH_f (0 K) ... -1097 meV/atom


Crystalline HoTmPtRh at its relaxed geometry, computed with PBE.

a b c (Å): 3.422 3.422 6.871
angles (deg): 90.00 90.00 90.00
Atoms (fractional coordinates):
1 Rh 0.000 0.000 0.860
2 Ho 0.500 0.500 0.613
3 Pt 0.000 0.000 0.353
4 Tm 0.500 0.500 0.101

Calculated values
Magnetization ... 0.0 μB/cell
E above lowest polymorph ... 0 meV/atom
Space group ... No. 99
ΔH_f (0 K) ... -1109 meV/atom


Crystalline HoZrPtRh at its relaxed geometry, computed with PBE.

a b c (Å): 4.790 4.790 4.790
angles (deg): 60.00 60.00 60.00
Atoms (fractional coordinates):
1 Pt 0.750 0.750 0.750
2 Zr 0.500 0.500 0.500
3 Ho 0.000 0.000 0.000
4 Rh 0.250 0.250 0.250

Calculated values
Magnetization ... 0.0 μB/cell
Space group ... No. 216
ΔH_f (0 K) ... -906 meV/atom


E (eV per atom)
-6.707 -6.719 -7.535
Theoretical density (g cm⁻³)
13.02 13.04 11.84